# Cd2OsCl

A geometry-optimized Cd2OsCl structure (PBEsol, Alexandria).

## Properties
Crystal system: trigonal
Formation energy (no corrections), eV/atom: 0.336
Size of the total moment, μB/f.u.: 0.61
Final energy, eV/cell: -15.27
Space-group type: R-3m, No. 166

a b c (Å): 3.086 3.086 8.894
angles (deg): 80.01 80.01 60.00
Element x y z (fractional)
Cd  0.248  0.248  0.255
Cd  0.752  0.752  0.745
Cl  0.000  0.000  0.000
Os  0.500  0.500  0.500